Record 1
{
  "formula": "Na2Tl8Sn3",
  "functional": "PBE-GGA",
  "state": "optimized geometry",
  "m_tot_mub_per_fu": 0.000,
  "formation_energy_kj_per_mol_atoms": 1,
  "spacegroup": "C2/m, No. 12",
  "e_tot_ev_per_atom": -2.58,
  "de_polymorph_ev_per_atom": 0.0196,
  "cell": [[6.4125, 0.0000, 0.8167], [0.0000, 8.8727, 0.0000], [-1.8715, -4.4363, 6.8462]],
  "species": ["Na", "Na", "Tl", "Tl", "Tl", "Tl", "Tl", "Tl", "Tl", "Tl", "Sn", "Sn", "Sn"],
  "fractional_positions": [[0.2799, 0.1992, 0.3984], [0.7201, 0.8008, 0.6016], [0.8963, 0.5986, 0.1972], [0.1037, 0.4014, 0.8028], [0.7974, 0.1929, 0.3857], [0.2026, 0.8071, 0.6143], [0.5644, 0.5692, 0.7655], [0.5644, 0.1963, 0.7655], [0.4356, 0.8037, 0.2345], [0.4356, 0.4308, 0.2345], [0.5000, 0.0000, 0.0000], [0.0000, 0.1707, 0.0000], [0.0000, 0.8293, 0.0000]]
}

Record 2
{
  "formula": "Ca7H12Cl2",
  "functional": "PBE-GGA",
  "state": "optimized geometry",
  "m_tot_mub_per_fu": 0.000,
  "spacegroup": "P-6, No. 174",
  "e_tot_ev_per_atom": -3.61,
  "cell": [[9.2921, 0.0000, 0.0000], [-4.6461, 8.0472, 0.0000], [0.0000, 0.0000, 3.6717]],
  "species": ["Ca", "Ca", "Ca", "Ca", "Ca", "Ca", "Ca", "Cl", "Cl", "H", "H", "H", "H", "H", "H", "H", "H", "H", "H", "H", "H"],
  "fractional_positions": [[0.3333, 0.6667, 0.0000], [0.4383, 0.3608, 0.0000], [0.6392, 0.0775, 0.0000], [0.9225, 0.5617, 0.0000], [0.2190, 0.9484, 0.5000], [0.0516, 0.2706, 0.5000], [0.7294, 0.7810, 0.5000], [0.0000, 0.0000, 0.0000], [0.6667, 0.3333, 0.5000], [0.3921, 0.0896, 0.0000], [0.9104, 0.3026, 0.0000], [0.6974, 0.6079, 0.0000], [0.1761, 0.7847, 0.0000], [0.2153, 0.3914, 0.0000], [0.6086, 0.8239, 0.0000], [0.2853, 0.2279, 0.5000], [0.7721, 0.0574, 0.5000], [0.9426, 0.7147, 0.5000], [0.4353, 0.8816, 0.5000], [0.1184, 0.5537, 0.5000], [0.4462, 0.5647, 0.5000]]
}